Entry one
Material: HfSnMo
Method: DFT, PBE
State: optimized geometry

a b c (Å): 3.5544 3.5544 9.2264
angles (deg): 90.00 90.00 90.00
Closest atoms and distances in Å follow each position.
Space group I4mm (No. 107)
Symmetry-distinct sites (fractional):
Hf 0.0000 0.0000 0.0000  5 Mo 2.89-3.19, 5 Sn 2.93-3.02
Sn 0.0000 0.0000 0.6824  5 Hf 2.93-3.02, 5 Mo 2.93-3.10
Mo 0.0000 0.0000 0.3461  5 Hf 2.89-3.19, 5 Sn 2.93-3.10

Values from the calculation:
Calculated volume: 19.43 A^3/atom
Magnetic moment: 0.00 μB per cell
DOS(E_F): 0.87 states/eV/f.u.

Entry two
Material: HfSnMo
Method: DFT, PBE
State: optimized geometry

a b c (Å): 4.7493 4.7493 3.0013
angles (deg): 90.00 90.00 120.00
Closest atoms and distances in Å follow each position.
Space group P3m1 (No. 156)
Symmetry-distinct sites (fractional):
Hf 0.0000 0.0000 0.0000  3 Mo 2.89, 2 Hf 3.00, 6 Sn 3.03-3.23
Sn 0.6667 0.3333 0.5690  3 Mo 2.86, 2 Sn 3.00, 3 Hf 3.03
Mo 0.3333 0.6667 0.2996  3 Sn 2.86, 3 Hf 2.89, 2 Mo 3.00

Values from the calculation:
Calculated volume: 19.54 A^3/atom
Magnetic moment: 0.00 μB per cell
DOS(E_F): 1.52 states/eV/f.u.

Entry three
Material: HfSnMo
Method: DFT, PBE
State: optimized geometry

a b c (Å): 4.1883 4.1883 14.1341
angles (deg): 90.00 90.00 90.00
Closest atoms and distances in Å follow each position.
Space group I4/mmm (No. 139)
Symmetry-distinct sites (fractional):
Hf 0.0000 0.0000 0.1451  4 Mo 2.93, 5 Sn 2.96-3.01
Sn 0.0000 0.0000 0.3582  4 Mo 2.90, 5 Hf 2.96-3.01
Mo 0.0000 0.5000 0.0000  4 Sn 2.90, 4 Hf 2.93, 4 Mo 2.96

Values from the calculation:
Calculated volume: 20.66 A^3/atom
Magnetic moment: 0.00 μB per cell
DOS(E_F): 2.53 states/eV/f.u.

Verdict on stability: entry two comes out at the bottom.